Entry 1:
VASP calculation (PBE) on Ca2ZrAu after structural relaxation.

Lattice parameters (Å, degrees): 3.3852 3.3853 9.8920 69.96 90.00 90.00
Closest atoms and distances in Å follow each position.
Fractional coordinates of all 4 atoms:
Ca 0.0000 0.0336 0.9665  4 Au 3.13, 4 Ca 3.39
Ca 0.0000 0.4664 0.5335  4 Au 3.13, 4 Ca 3.39
Au 0.5000 0.7500 0.7500  8 Ca 3.13, 4 Au 3.39
Zr 0.5000 0.2500 0.2500  4 Zr 3.39, 8 Ca 3.56

## Properties
relative energy among the computed polymorphs	0.054	eV/atom
DFT formation energy	-0.138	eV/atom
energy	-4.095	eV/atom
mass density	5.74	Mg/m³
space group	P4/mmm, No. 123
V	26.62	A^3/atom

Entry 2:
VASP calculation (PBE) on Ca4ZrAu after structural relaxation.

Lattice parameters (Å, degrees): 6.4775 6.4775 6.4775 60.00 60.00 60.00
Closest atoms and distances in Å follow each position.
Fractional coordinates of all 6 atoms:
Ca 0.8746 0.3751 0.3751  6 Ca 3.24
Ca 0.3751 0.3751 0.8746  6 Ca 3.24
Ca 0.3751 0.8746 0.3751  6 Ca 3.24
Ca 0.3751 0.3751 0.3751  6 Ca 3.24
Zr 0.7500 0.7500 0.7500  12 Ca 3.80, 4 Au 3.97
Au 0.0000 0.0000 0.0000  12 Ca 3.80, 4 Zr 3.97

## Properties
DFT formation energy	0.582	eV/atom
energy	-2.723	eV/atom
mass density	3.88	Mg/m³
space group	F-43m, No. 216
V	32.03	A^3/atom

Entry 3:
VASP calculation (PBE) on CaZr2Au after structural relaxation.

Lattice parameters (Å, degrees): 3.3457 3.3693 9.3417 68.85 90.00 90.00
Closest atoms and distances in Å follow each position.
Fractional coordinates of all 4 atoms:
Ca 0.5000 0.7883 0.7120  4 Au 3.16, 4 Ca 3.35-3.37
Au 0.0000 0.5268 0.4729  4 Zr 2.95, 4 Ca 3.16
Zr 0.0000 0.9579 0.0423  8 Zr 3.11-3.37
Zr 0.5000 0.2270 0.2728  4 Au 2.95, 4 Zr 3.11

## Properties
relative energy among the computed polymorphs	0.000	eV/atom
DFT formation energy	-0.269	eV/atom
energy	-5.863	eV/atom
mass density	7.09	Mg/m³
space group	Pmm2, No. 25
V	24.55	A^3/atom

Entry 4:
VASP calculation (PBE) on CaZr2Au after structural relaxation.

Lattice parameters (Å, degrees): 5.5832 5.5832 5.5832 132.97 132.97 68.71
Closest atoms and distances in Å follow each position.
Fractional coordinates of all 4 atoms:
Ca 0.7500 0.2500 0.5000  8 Zr 3.15-3.21, 4 Au 3.21
Au 0.5000 0.5000 0.0000  8 Zr 3.15-3.21, 4 Ca 3.21
Zr 0.0000 0.0000 0.0000  4 Au 3.15, 4 Ca 3.21, 4 Zr 3.21
Zr 0.2500 0.7500 0.5000  4 Ca 3.15, 4 Zr 3.21, 4 Au 3.21

## Properties
relative energy among the computed polymorphs	0.334	eV/atom
DFT formation energy	0.065	eV/atom
energy	-5.528	eV/atom
mass density	7.61	Mg/m³
space group	I-4m2, No. 119
V	22.88	A^3/atom

Entry 5:
VASP calculation (PBE) on CaZr2Au after structural relaxation.

Lattice parameters (Å, degrees): 5.5580 3.2603 5.2102 84.94 90.00 90.00
Closest atoms and distances in Å follow each position.
Fractional coordinates of all 4 atoms:
Ca 0.5000 0.7500 0.7500  4 Au 2.95-3.19, 2 Ca 3.26, 4 Zr 3.29
Au 0.5000 0.2500 0.2500  4 Ca 2.95-3.19, 4 Zr 3.13, 2 Au 3.26
Zr 0.0000 0.0524 0.0158  3 Zr 2.86-3.00, 2 Au 3.13
Zr 0.0000 0.4476 0.4842  3 Zr 2.86-3.00, 2 Au 3.13

## Properties
relative energy among the computed polymorphs	0.242	eV/atom
DFT formation energy	-0.027	eV/atom
energy	-5.620	eV/atom
mass density	7.41	Mg/m³
space group	P2/m, No. 10
V	23.51	A^3/atom

Entry 6:
VASP calculation (PBE) on Ca2ZrAu after structural relaxation.

Lattice parameters (Å, degrees): 5.2188 5.2188 5.2188 60.00 60.00 60.00
Closest atoms and distances in Å follow each position.
Fractional coordinates of all 4 atoms:
Ca 0.0000 0.0000 0.0000  4 Zr 3.20, 4 Ca 3.20
Ca 0.2500 0.2500 0.2500  4 Ca 3.20, 4 Au 3.20
Au 0.5000 0.5000 0.5000  4 Ca 3.20, 4 Zr 3.20
Zr 0.7500 0.7500 0.7500  4 Au 3.20, 4 Ca 3.20

## Properties
relative energy among the computed polymorphs	0.278	eV/atom
DFT formation energy	0.086	eV/atom
energy	-3.872	eV/atom
mass density	6.09	Mg/m³
space group	F-43m, No. 216
V	25.13	A^3/atom

Entry 7:
VASP calculation (PBE) on CaZr2Au after structural relaxation.

Lattice parameters (Å, degrees): 3.5389 4.7613 5.4893 90.00 90.00 90.00
Closest atoms and distances in Å follow each position.
Fractional coordinates of all 4 atoms:
Ca 0.0000 0.5000 0.5000  4 Au 2.97, 4 Zr 3.27
Au 0.5000 0.0000 0.5000  4 Ca 2.97, 4 Zr 3.27
Zr 0.0000 0.0000 0.0000  4 Zr 2.97, 4 Au 3.27
Zr 0.5000 0.5000 0.0000  4 Zr 2.97, 4 Ca 3.27

## Properties
relative energy among the computed polymorphs	0.220	eV/atom
DFT formation energy	-0.049	eV/atom
energy	-5.643	eV/atom
mass density	7.53	Mg/m³
space group	Pmmm, No. 47
V	23.12	A^3/atom

Entry 8:
VASP calculation (PBE) on Ca3ZrAu after structural relaxation.

Lattice parameters (Å, degrees): 5.5689 5.5689 5.5689 90.00 90.00 90.00
Closest atoms and distances in Å follow each position.
Fractional coordinates of all 5 atoms:
Ca 0.0000 0.5000 0.0000  2 Zr 2.78
Ca 0.0000 0.0000 0.5000  2 Zr 2.78
Ca 0.5000 0.0000 0.0000  2 Zr 2.78
Au 0.5000 0.5000 0.5000  12 Ca 3.94
Zr 0.0000 0.0000 0.0000  6 Ca 2.78

## Properties
relative energy among the computed polymorphs	0.733	eV/atom
DFT formation energy	0.935	eV/atom
energy	-2.631	eV/atom
mass density	3.93	Mg/m³
space group	Pm-3m, No. 221
V	34.54	A^3/atom

Entry 9:
VASP calculation (PBE) on Ca2ZrAu after structural relaxation.

Lattice parameters (Å, degrees): 10.2882 10.2877 10.2878 19.90 19.89 19.89
Closest atoms and distances in Å follow each position.
Fractional coordinates of all 4 atoms:
Ca 0.0090 0.0090 0.0090  3 Au 3.04
Ca 0.4910 0.4910 0.4910  3 Au 3.04
Au 0.7500 0.7500 0.7500  6 Ca 3.04
Zr 0.2500 0.2500 0.2500  6 Ca 3.46-3.47, 6 Zr 3.55

## Properties
relative energy among the computed polymorphs	0.161	eV/atom
DFT formation energy	-0.031	eV/atom
energy	-3.988	eV/atom
mass density	5.55	Mg/m³
space group	R-3m, No. 166
V	27.57	A^3/atom

Entry 10:
VASP calculation (PBE) on Ca2ZrAu after structural relaxation.

Lattice parameters (Å, degrees): 4.0470 4.8771 5.1035 90.00 90.00 90.00
Closest atoms and distances in Å follow each position.
Fractional coordinates of all 4 atoms:
Ca 0.0000 0.0000 0.0000  4 Ca 3.17, 4 Zr 3.26, 4 Au 3.53
Ca 0.5000 0.5000 0.0000  4 Ca 3.17, 4 Au 3.26, 4 Zr 3.53
Au 0.0000 0.5000 0.5000  4 Zr 3.17, 8 Ca 3.26-3.53
Zr 0.5000 0.0000 0.5000  4 Au 3.17, 8 Ca 3.26-3.53

## Properties
relative energy among the computed polymorphs	0.211	eV/atom
DFT formation energy	0.019	eV/atom
energy	-3.939	eV/atom
mass density	6.07	Mg/m³
space group	Pmmm, No. 47
V	25.18	A^3/atom

Entry 11:
VASP calculation (PBE) on Ca2ZrAu after structural relaxation.

Lattice parameters (Å, degrees): 6.5888 6.5888 5.4099 65.80 65.80 31.44
Closest atoms and distances in Å follow each position.
Fractional coordinates of all 4 atoms:
Ca 0.9589 0.9589 0.0410  2 Au 3.11, 4 Zr 3.40
Ca 0.7550 0.7550 0.7450  4 Au 3.25, 4 Ca 3.57-3.58, 2 Zr 3.59
Au 0.2367 0.2367 0.2635  2 Zr 2.79, 2 Ca 3.11
Zr 0.5493 0.5493 0.4505  2 Au 2.79

## Properties
relative energy among the computed polymorphs	0.064	eV/atom
DFT formation energy	-0.128	eV/atom
energy	-4.085	eV/atom
mass density	5.52	Mg/m³
space group	Imm2, No. 44
V	27.71	A^3/atom

Entry 12:
VASP calculation (PBE) on Ca2ZrAu after structural relaxation.

Lattice parameters (Å, degrees): 8.6869 8.6869 6.8555 50.69 50.69 90.00
Closest atoms and distances in Å follow each position.
Fractional coordinates of all 8 atoms:
Ca 0.6802 0.1250 0.2500  2 Au 2.86, 2 Ca 3.19
Ca 0.0698 0.6250 0.2500  2 Au 2.86, 2 Ca 3.19
Ca 0.3750 0.3198 0.7500  2 Au 2.86, 2 Ca 3.19
Ca 0.8750 0.9302 0.7500  2 Au 2.86, 2 Ca 3.19
Au 0.0000 0.0000 0.0000  4 Ca 2.86, 2 Zr 3.04
Au 0.7500 0.2500 0.5000  4 Ca 2.86, 2 Zr 3.04
Zr 0.5000 0.5000 0.0000  2 Au 3.04
Zr 0.2500 0.7500 0.5000  2 Au 3.04

## Properties
relative energy among the computed polymorphs	0.340	eV/atom
DFT formation energy	0.148	eV/atom
energy	-3.809	eV/atom
mass density	5.33	Mg/m³
space group	I-42d, No. 122
V	28.71	A^3/atom

Entry 13:
VASP calculation (PBE) on CaZr2Au after structural relaxation.

Lattice parameters (Å, degrees): 10.7508 10.7508 10.7508 17.49 17.49 17.49
Closest atoms and distances in Å follow each position.
Fractional coordinates of all 4 atoms:
Ca 0.7500 0.7500 0.7500  6 Ca 3.27, 6 Zr 3.55
Au 0.2500 0.2500 0.2500  6 Zr 2.96, 6 Au 3.27
Zr 0.9887 0.9887 0.9887  3 Au 2.96, 6 Zr 3.27
Zr 0.5113 0.5113 0.5113  3 Au 2.96, 6 Zr 3.27

## Properties
relative energy among the computed polymorphs	0.367	eV/atom
DFT formation energy	0.098	eV/atom
energy	-5.496	eV/atom
mass density	7.11	Mg/m³
space group	R-3m, No. 166
V	24.48	A^3/atom

Entry 14:
VASP calculation (PBE) on Ca2ZrAu after structural relaxation.

Lattice parameters (Å, degrees): 6.4164 6.4164 5.1266 66.48 66.48 33.21
Closest atoms and distances in Å follow each position.
Fractional coordinates of all 4 atoms:
Ca 0.9586 0.9586 0.0413  2 Au 2.97, 4 Ca 3.28
Ca 0.5414 0.5414 0.4587  2 Au 2.97, 4 Ca 3.28
Au 0.2500 0.2500 0.2500  4 Ca 2.97, 4 Zr 3.15
Zr 0.7500 0.7500 0.7500  4 Au 3.15, 4 Ca 3.46-3.47

## Properties
relative energy among the computed polymorphs	0.166	eV/atom
DFT formation energy	-0.027	eV/atom
energy	-3.984	eV/atom
mass density	5.82	Mg/m³
space group	Immm, No. 71
V	26.28	A^3/atom